BaLaSc2: optimized geometry, PBE.

Calculated values
Crystal system: cubic
Electronic total energy: -18.3 eV for the cell shown
N(E_F): 1.81 states/eV/atom
Symmetry: Fm-3m
Total magnetization: 0.00 μB/f.u.

Unit cell a=5.758 b=5.758 c=5.758 alpha=60.00 beta=60.00 gamma=60.00
Atoms (fractional coordinates):
1 La 0.500 0.500 0.500
2 Sc 0.250 0.250 0.250
3 Sc 0.750 0.750 0.750
4 Ba 0.000 0.000 0.000

***

BaLaSc2: optimized geometry, PBE.

Calculated values
Crystal system: orthorhombic
Electronic total energy: -17.9 eV for the cell shown
N(E_F): 2.23 states/eV/atom
Symmetry: Pmmm
Total magnetization: 0.04 μB/f.u.

Unit cell a=3.841 b=5.877 c=5.880 alpha=90.00 beta=90.00 gamma=90.00
Atoms (fractional coordinates):
1 Ba 0.500 0.000 0.500
2 La 0.000 0.500 0.500
3 Sc 0.500 0.500 0.000
4 Sc 0.000 0.000 0.000

***

Question: Which value of total magnetization does entry 2 give?
Answer: 0.04 μB/f.u.

***

Question: Among the records above, which one has the lowest N(E_F)?
Answer: number 1

***

Question: Number 2 is which compound?
Answer: BaLaSc2